1.
{
  "formula": "Ce2HoSnC",
  "functional": "PBE",
  "state": "optimized geometry",
  "final_energy_ev_per_cell": -32.17,
  "mass_density_g_cm3": 7.9,
  "ef_ev_per_atom": -0.499,
  "crystal_system": "tetragonal",
  "magmom_total_mub_per_cell": 1.27,
  "lattice_angstrom": [[4.933, 0.000, 0.000], [0.000, 4.949, 0.000], [0.000, 0.000, 4.949]],
  "species": ["Ce", "Ce", "Ho", "Sn", "C"],
  "fractional_positions": [[0.000, 0.000, 0.500], [0.000, 0.500, 0.000], [0.500, 0.000, 0.000], [0.500, 0.500, 0.500], [0.000, 0.000, 0.000]]
}


2.
{
  "formula": "CeHo2SnC",
  "functional": "PBE",
  "state": "optimized geometry",
  "final_energy_ev_per_cell": -31.07,
  "mass_density_g_cm3": 8.5,
  "ef_ev_per_atom": -0.551,
  "crystal_system": "tetragonal",
  "magmom_total_mub_per_cell": 0.51,
  "lattice_angstrom": [[4.905, 0.000, 0.000], [0.000, 4.905, 0.000], [0.000, 0.000, 4.905]],
  "species": ["Ce", "Ho", "Ho", "Sn", "C"],
  "fractional_positions": [[0.500, 0.000, 0.000], [0.000, 0.000, 0.500], [0.000, 0.500, 0.000], [0.500, 0.500, 0.500], [0.000, 0.000, 0.000]]
}


3.
{
  "formula": "Ce2HoTc2C4",
  "functional": "PBE",
  "state": "optimized geometry",
  "final_energy_ev_per_cell": -74.91,
  "mass_density_g_cm3": 8.5,
  "ef_ev_per_atom": -0.093,
  "crystal_system": "monoclinic",
  "magmom_total_mub_per_cell": 0.00,
  "lattice_angstrom": [[-2.231, 1.659, -1.975], [-3.276, -0.506, 6.220], [3.433, 4.958, 0.288]],
  "species": ["Ce", "Ce", "Ho", "Tc", "Tc", "C", "C", "C", "C"],
  "fractional_positions": [[0.870, 0.740, 0.469], [0.130, 0.260, 0.531], [0.000, 0.000, 0.000], [0.320, 0.640, 0.992], [0.680, 0.360, 0.008], [0.774, 0.548, 0.780], [0.226, 0.452, 0.220], [0.451, 0.901, 0.247], [0.549, 0.099, 0.753]]
}


4.
{
  "formula": "CeHoTeC",
  "functional": "PBE",
  "state": "optimized geometry",
  "final_energy_ev_per_cell": -26.09,
  "mass_density_g_cm3": 8.1,
  "e_form_raw_ev_per_atom": -0.803,
  "crystal_system": "trigonal",
  "magmom_total_mub_per_cell": 0.65,
  "lattice_angstrom": [[-2.459, 0.526, -2.931], [0.454, -1.986, -3.281], [-4.808, -5.641, 0.477]],
  "species": ["Ce", "Ho", "Te", "C"],
  "fractional_positions": [[0.978, 0.978, 0.065], [0.520, 0.520, 0.441], [0.752, 0.752, 0.744], [0.250, 0.250, 0.250]]
}


5.
{
  "formula": "CeHo2TlC",
  "functional": "PBE",
  "state": "optimized geometry",
  "final_energy_ev_per_cell": -28.58,
  "mass_density_g_cm3": 9.5,
  "ef_ev_per_atom": -0.380,
  "crystal_system": "tetragonal",
  "magmom_total_mub_per_cell": 0.44,
  "lattice_angstrom": [[-1.778, 4.373, -1.338], [-4.542, -1.456, 1.279], [0.743, 1.702, 4.575]],
  "species": ["Ce", "Ho", "Ho", "Tl", "C"],
  "fractional_positions": [[0.500, 0.000, 0.000], [0.000, 0.000, 0.500], [0.000, 0.500, 0.000], [0.500, 0.500, 0.500], [0.000, 0.000, 0.000]]
}


6.
{
  "formula": "CeHo2UC4",
  "functional": "PBE",
  "state": "optimized geometry",
  "final_energy_ev_per_cell": -65.04,
  "mass_density_g_cm3": 9.6,
  "ef_ev_per_atom": -0.221,
  "crystal_system": "monoclinic",
  "magmom_total_mub_per_cell": 0.00,
  "lattice_angstrom": [[-1.463, 2.864, 1.665], [-5.378, -1.182, -2.691], [-3.359, -3.823, 3.625]],
  "species": ["Ce", "Ho", "Ho", "U", "C", "C", "C", "C"],
  "fractional_positions": [[0.500, 0.500, 0.000], [0.000, 0.000, 0.000], [0.500, 0.000, 0.500], [0.000, 0.500, 0.500], [0.000, 0.727, 0.733], [0.000, 0.273, 0.267], [0.500, 0.726, 0.271], [0.500, 0.274, 0.729]]
}


7.
{
  "formula": "Ce2HoW2C4",
  "functional": "PBE",
  "state": "optimized geometry",
  "final_energy_ev_per_cell": -79.61,
  "mass_density_g_cm3": 10.2,
  "ef_ev_per_atom": -0.041,
  "crystal_system": "monoclinic",
  "magmom_total_mub_per_cell": 0.00,
  "lattice_angstrom": [[-2.757, 1.749, -1.130], [-2.300, -6.896, 0.220], [-0.873, 2.181, 5.507]],
  "species": ["Ce", "Ce", "Ho", "W", "W", "C", "C", "C", "C"],
  "fractional_positions": [[0.871, 0.743, 0.472], [0.129, 0.257, 0.528], [0.000, 0.000, 0.000], [0.322, 0.643, 0.984], [0.678, 0.357, 0.016], [0.772, 0.544, 0.780], [0.228, 0.456, 0.220], [0.449, 0.898, 0.241], [0.551, 0.102, 0.759]]
}


8.
{
  "formula": "Ce2HoZnC",
  "functional": "PBE",
  "state": "optimized geometry",
  "final_energy_ev_per_cell": -27.67,
  "mass_density_g_cm3": 7.4,
  "ef_ev_per_atom": -0.145,
  "crystal_system": "tetragonal",
  "magmom_total_mub_per_cell": 0.66,
  "lattice_angstrom": [[4.898, 0.000, 0.000], [0.000, 4.898, 0.000], [0.000, 0.000, 4.883]],
  "species": ["Ce", "Ce", "Ho", "Zn", "C"],
  "fractional_positions": [[0.000, 0.500, 0.000], [0.500, 0.000, 0.000], [0.000, 0.000, 0.500], [0.500, 0.500, 0.500], [0.000, 0.000, 0.000]]
}


9.
{
  "formula": "Ce2CI2",
  "functional": "PBE",
  "state": "optimized geometry",
  "final_energy_ev_per_cell": -28.33,
  "mass_density_g_cm3": 5.7,
  "e_form_raw_ev_per_atom": -0.828,
  "crystal_system": "monoclinic",
  "magmom_total_mub_per_cell": 1.38,
  "lattice_angstrom": [[-2.959, 1.540, -2.101], [-0.286, -0.765, -3.856], [-7.794, -9.106, 0.604]],
  "species": ["Ce", "Ce", "C", "I", "I"],
  "fractional_positions": [[0.709, 0.196, 0.386], [0.291, 0.804, 0.614], [0.000, 0.500, 0.500], [0.447, 0.911, 0.196], [0.553, 0.089, 0.804]]
}


10.
{
  "formula": "CeCI",
  "functional": "PBE",
  "state": "optimized geometry",
  "final_energy_ev_per_cell": -34.61,
  "mass_density_g_cm3": 5.7,
  "e_form_raw_ev_per_atom": -0.200,
  "crystal_system": "tetragonal",
  "magmom_total_mub_per_cell": 0.00,
  "lattice_angstrom": [[3.865, 0.000, 0.000], [0.000, 3.865, 0.000], [-1.932, -1.932, 10.944]],
  "species": ["Ce", "Ce", "C", "C", "I", "I"],
  "fractional_positions": [[0.071, 0.071, 0.142], [0.929, 0.929, 0.858], [0.000, 0.500, 0.000], [0.500, 0.000, 0.000], [0.659, 0.659, 0.318], [0.341, 0.341, 0.682]]
}


11.
{
  "formula": "Ce2CI2",
  "functional": "PBE",
  "state": "optimized geometry",
  "final_energy_ev_per_cell": -54.36,
  "mass_density_g_cm3": 6.3,
  "e_form_raw_ev_per_atom": -0.598,
  "crystal_system": "orthorhombic",
  "magmom_total_mub_per_cell": 4.00,
  "lattice_angstrom": [[-1.632, -3.361, -0.118], [0.810, 1.467, 6.219], [-11.243, 5.453, 0.178]],
  "species": ["Ce", "Ce", "Ce", "Ce", "C", "C", "I", "I", "I", "I"],
  "fractional_positions": [[0.199, 0.398, 0.119], [0.078, 0.156, 0.896], [0.801, 0.602, 0.619], [0.922, 0.844, 0.396], [0.638, 0.276, 0.002], [0.362, 0.724, 0.502], [0.917, 0.835, 0.131], [0.352, 0.705, 0.837], [0.083, 0.165, 0.631], [0.648, 0.295, 0.337]]
}


12.
{
  "formula": "Ce3CI3",
  "functional": "PBE",
  "state": "optimized geometry",
  "final_energy_ev_per_cell": -76.02,
  "mass_density_g_cm3": 6.3,
  "e_form_raw_ev_per_atom": -0.905,
  "crystal_system": "monoclinic",
  "magmom_total_mub_per_cell": 5.33,
  "lattice_angstrom": [[3.979, 0.000, 0.000], [0.000, 8.917, -0.455], [0.000, 0.006, 12.145]],
  "species": ["Ce", "Ce", "Ce", "Ce", "Ce", "Ce", "C", "C", "I", "I", "I", "I", "I", "I"],
  "fractional_positions": [[0.250, 0.296, 0.614], [0.750, 0.704, 0.386], [0.250, 0.915, 0.601], [0.750, 0.085, 0.399], [0.250, 0.890, 0.184], [0.750, 0.110, 0.816], [0.250, 0.886, 0.387], [0.750, 0.114, 0.613], [0.250, 0.386, 0.363], [0.750, 0.614, 0.637], [0.250, 0.850, 0.879], [0.750, 0.150, 0.121], [0.250, 0.380, 0.873], [0.750, 0.620, 0.127]]
}